! Ba2SbP PBE optimized geometry; values from VASP
&SYSTEM
  ibrav = 0, nat = 4, ntyp = 3
/
ATOMIC_SPECIES
Ba 137.33 Ba.upf
Sb 121.76 Sb.upf
P 30.97 P.upf
CELL_PARAMETERS angstrom
0.0000 4.0136 4.0136
4.0136 0.0000 4.0136
4.0136 4.0136 0.0000
ATOMIC_POSITIONS angstrom
Ba 0.0000 0.0000 0.0000
Ba 2.0068 2.0068 2.0068
Sb 6.0204 6.0204 6.0204
P 4.0136 4.0136 4.0136
! Raw formation energy, eV per atom: -0.227
! Space-group type: F-43m (216)
! E, eV per atom: -3.571
! Relative energy among the computed polymorphs, meV per atom: 657